[1]
Computed, not measured: a geometry-optimized Tl3Cd structure at the PBEsol level of DFT.

abc: 3.422 3.422 8.983
angles: 90.00 90.00 90.00
Positions (direct):
Tl1 0.000 0.000 0.000
Tl2 0.500 0.500 0.270
Tl3 0.500 0.500 0.730
Cd1 0.000 0.000 0.500

Computed properties:
**Symmetry**: P4/mmm
**Density**: 11.455 Mg/m³
**Energy of formation from the pure elements**: 39 meV/atom
**M_tot**: 0.00 Bohr magnetons per cell
**Uncorrected energy**: -2.233 eV per atom

=====

[2]
Computed, not measured: a geometry-optimized Li2MgCd2 structure at the PBEsol level of DFT.

abc: 7.680 7.680 3.215
angles: 90.00 90.00 90.00
Positions (direct):
Li1 0.161 0.339 0.000
Li2 0.339 0.839 0.000
Li3 0.661 0.161 0.000
Li4 0.839 0.661 0.000
Mg1 0.000 0.000 0.500
Mg2 0.500 0.500 0.500
Cd1 0.136 0.636 0.500
Cd2 0.364 0.136 0.500
Cd3 0.636 0.864 0.500
Cd4 0.864 0.364 0.500

Computed properties:
**Symmetry**: P4/mbm
**Density**: 4.606 Mg/m³
**Energy of formation from the pure elements**: -175 meV/atom
**M_tot**: 0.00 Bohr magnetons per cell
**Uncorrected energy**: -1.784 eV per atom

=====

[3]
Computed, not measured: a geometry-optimized BMo2I structure at the PBEsol level of DFT.

abc: 7.432 7.432 7.432
angles: 142.76 142.76 53.68
Positions (direct):
B1 0.000 0.000 0.000
B2 0.750 0.250 0.500
Mo1 0.008 0.625 0.883
Mo2 0.375 0.258 0.383
Mo3 0.742 0.125 0.117
Mo4 0.875 0.992 0.617
I1 0.250 0.750 0.500
I2 0.500 0.500 0.000

Computed properties:
**Symmetry**: I-42d
**Density**: 7.330 Mg/m³
**M_tot**: 0.00 Bohr magnetons per cell
**E_form (uncorrected)**: 955 meV/atom
**Uncorrected energy**: -7.125 eV per atom

=====

[4]
Computed, not measured: a geometry-optimized YCdCl2 structure at the PBEsol level of DFT.

abc: 3.445 3.445 7.658
angles: 90.00 90.00 90.00
Positions (direct):
Y1 0.000 0.000 0.000
Cd1 0.500 0.500 0.288
Cl1 0.000 0.000 0.477
Cl2 0.500 0.500 0.819

Computed properties:
**Symmetry**: P4mm
**Density**: 4.973 Mg/m³
**M_tot**: 0.00 Bohr magnetons per cell
**E_form (uncorrected)**: -1130 meV/atom
**Uncorrected energy**: -4.138 eV per atom
**Energy above the lowest structure with this stoichiometry**: 10.4 kJ per mole of atoms

=====

[5]
Computed, not measured: a geometry-optimized YCr2In structure at the PBEsol level of DFT.

abc: 9.021 9.021 9.021
angles: 19.53 19.53 19.53
Positions (direct):
Y1 0.000 0.000 0.000
Cr1 0.476 0.476 0.476
Cr2 0.756 0.756 0.756
In1 0.228 0.228 0.228

Computed properties:
**Symmetry**: R3m
**Density**: 7.123 Mg/m³
**Energy of formation from the pure elements**: 456 meV/atom
**M_tot**: 0.00 Bohr magnetons per cell
**Uncorrected energy**: -7.117 eV per atom

=====

[6]
Computed, not measured: a geometry-optimized Zr2InRu structure at the PBEsol level of DFT.

abc: 3.259 3.259 7.218
angles: 90.00 90.00 90.00
Positions (direct):
Zr1 0.000 0.000 0.000
Zr2 0.500 0.500 0.286
In1 0.000 0.000 0.572
Ru1 0.500 0.500 0.799

Computed properties:
**Symmetry**: P4mm
**Density**: 8.626 Mg/m³
**Energy of formation from the pure elements**: -291 meV/atom
**M_tot**: 0.00 Bohr magnetons per cell
**Uncorrected energy**: -8.125 eV per atom

=====

> Which value of M_tot does entry 5 give?

0.00 Bohr magnetons per cell

=====

> Among the records above, which one has the highest uncorrected energy?

Li2MgCd2

=====

Copy entry 6 word for word.
Computed, not measured: a geometry-optimized Zr2InRu structure at the PBEsol level of DFT.

abc: 3.259 3.259 7.218
angles: 90.00 90.00 90.00
Positions (direct):
Zr1 0.000 0.000 0.000
Zr2 0.500 0.500 0.286
In1 0.000 0.000 0.572
Ru1 0.500 0.500 0.799

Computed properties:
**Symmetry**: P4mm
**Density**: 8.626 Mg/m³
**Energy of formation from the pure elements**: -291 meV/atom
**M_tot**: 0.00 Bohr magnetons per cell
**Uncorrected energy**: -8.125 eV per atom

=====

Please write out number 4 again, unchanged.
Computed, not measured: a geometry-optimized YCdCl2 structure at the PBEsol level of DFT.

abc: 3.445 3.445 7.658
angles: 90.00 90.00 90.00
Positions (direct):
Y1 0.000 0.000 0.000
Cd1 0.500 0.500 0.288
Cl1 0.000 0.000 0.477
Cl2 0.500 0.500 0.819

Computed properties:
**Symmetry**: P4mm
**Density**: 4.973 Mg/m³
**M_tot**: 0.00 Bohr magnetons per cell
**E_form (uncorrected)**: -1130 meV/atom
**Uncorrected energy**: -4.138 eV per atom
**Energy above the lowest structure with this stoichiometry**: 10.4 kJ per mole of atoms